Entry 1:
CdIn2SnAu2: relaxed, GGA-PBE.

a = 8.098 Å, b = 8.098 Å, c = 8.098 Å
α = 34.03°, β = 34.03°, γ = 34.03°
Atoms (fractional coordinates):
Au1 0.998 0.998 0.998
Au2 0.502 0.502 0.502
In1 0.122 0.122 0.122
In2 0.630 0.630 0.630
Sn1 0.873 0.873 0.873
Cd1 0.375 0.375 0.375

* calculated formation energy: -0.205 eV/atom
* crystal system: trigonal


Entry 2:
PaBeInO6: relaxed, GGA-PBE.

a = 4.748 Å, b = 5.150 Å, c = 5.150 Å
α = 120.00°, β = 90.00°, γ = 90.00°
Site moments in Bohr magnetons follow the coordinates.
Atoms (fractional coordinates):
O1 0.273 0.696 0.986  0.29
O2 0.273 0.014 0.710  0.29
O3 0.273 0.290 0.304  0.29
O4 0.727 0.014 0.304  0.29
O5 0.727 0.696 0.710  0.29
O6 0.727 0.290 0.986  0.29
In1 0.500 0.667 0.333  0.00
Be1 0.500 0.000 0.000  -0.01
Pa1 0.000 0.333 0.667  -0.05

* crystal system: trigonal


Entry 3:
Ba4Cd2S: relaxed, GGA-PBE.

a = 6.118 Å, b = 6.118 Å, c = 9.629 Å
α = 108.52°, β = 108.52°, γ = 90.00°
Site moments in Bohr magnetons follow the coordinates.
Atoms (fractional coordinates):
Ba1 0.500 0.000 0.000  0.08
Ba2 0.184 0.184 0.368  0.07
Ba3 0.816 0.816 0.632  0.07
Ba4 0.000 0.500 0.000  0.08
S1 0.000 0.000 0.000  -0.01
Cd1 0.613 0.613 0.226  0.05
Cd2 0.387 0.387 0.774  0.05

* crystal system: tetragonal


Entry 4:
HoZnSiPt3: relaxed, GGA-PBE.

a = 5.554 Å, b = 6.909 Å, c = 6.751 Å
α = 120.77°, β = 90.00°, γ = 90.00°
Atoms (fractional coordinates):
Ho1 0.250 0.702 0.404
Ho2 0.750 0.298 0.596
Si1 0.250 0.378 0.757
Si2 0.750 0.622 0.243
Zn1 0.750 0.048 0.096
Zn2 0.250 0.952 0.904
Pt1 0.500 0.295 0.000
Pt2 0.250 0.181 0.363
Pt3 0.000 0.705 0.000
Pt4 0.500 0.705 0.000
Pt5 0.750 0.819 0.637
Pt6 0.000 0.295 0.000

* crystal system: orthorhombic


Entry 5:
Ac2ScAgSe5: relaxed, GGA-PBE.

a = 4.248 Å, b = 9.208 Å, c = 12.623 Å
α = 90.00°, β = 90.00°, γ = 103.34°
Atoms (fractional coordinates):
Se1 0.350 0.700 0.003
Se2 0.712 0.424 0.157
Se3 0.288 0.576 0.657
Se4 0.304 0.608 0.359
Se5 0.496 0.993 0.770
Se6 0.504 0.007 0.270
Se7 0.052 0.105 0.070
Se8 0.948 0.895 0.570
Se9 0.696 0.392 0.859
Se10 0.650 0.300 0.503
Ag1 0.559 0.117 0.954
Ag2 0.441 0.883 0.454
Ac1 0.112 0.225 0.689
Ac2 0.128 0.256 0.309
Ac3 0.888 0.775 0.189
Ac4 0.872 0.744 0.809
Sc1 0.193 0.386 0.012
Sc2 0.807 0.614 0.512

* crystal system: orthorhombic


Entry 6:
La2FeSiN: relaxed, GGA-PBE.

a = 4.033 Å, b = 6.366 Å, c = 8.591 Å
α = 109.58°, β = 90.00°, γ = 90.00°
Site moments in Bohr magnetons follow the coordinates.
Atoms (fractional coordinates):
Fe1 0.750 0.480 0.250  1.44
Fe2 0.250 0.520 0.750  1.44
La1 0.250 0.224 0.967  -0.01
La2 0.750 0.776 0.033  -0.01
La3 0.250 0.211 0.389  -0.01
La4 0.750 0.789 0.611  -0.01
Si1 0.750 0.328 0.703  0.00
Si2 0.250 0.672 0.297  0.00
N1 0.750 0.182 0.173  0.05
N2 0.250 0.818 0.827  0.05

* E above lowest polymorph: 0 meV/atom
* crystal system: monoclinic


Entry 7:
V2CrReCl: relaxed, GGA-PBE.

a = 4.751 Å, b = 4.859 Å, c = 4.751 Å
α = 90.00°, β = 90.00°, γ = 90.00°
Site moments in Bohr magnetons follow the coordinates.
Atoms (fractional coordinates):
V1 0.000 0.000 0.500  1.36
V2 0.500 0.000 0.000  1.99
Cr1 0.000 0.500 0.000  3.32
Cl1 0.500 0.500 0.500  0.07
Re1 0.000 0.000 0.000  -0.71

* crystal system: tetragonal


Entry 8:
TaMnPS2: relaxed, GGA-PBE.

a = 4.715 Å, b = 4.715 Å, c = 4.991 Å
α = 90.00°, β = 90.00°, γ = 90.00°
Site moments in Bohr magnetons follow the coordinates.
Atoms (fractional coordinates):
S1 0.000 0.500 0.000  0.01
S2 0.500 0.000 0.000  0.01
Ta1 0.000 0.000 0.000  0.10
Mn1 0.500 0.500 0.500  4.52
P1 0.000 0.000 0.500  -0.09

* E above lowest polymorph: 0 meV/atom
* crystal system: tetragonal


Entry 9:
PuMnNi: relaxed, GGA-PBE.

a = 3.427 Å, b = 4.225 Å, c = 4.225 Å
α = 120.00°, β = 90.00°, γ = 90.00°
Site moments in Bohr magnetons follow the coordinates.
Atoms (fractional coordinates):
Pu1 0.667 0.667 0.333  4.89
Mn1 0.167 0.333 0.667  2.85
Ni1 0.166 0.000 0.000  0.28

* calculated formation energy: 0.299 eV/atom
* crystal system: hexagonal


Entry 10:
TiBe2RuC: relaxed, GGA-PBE.

a = 4.109 Å, b = 3.847 Å, c = 4.109 Å
α = 90.00°, β = 90.00°, γ = 90.00°
Atoms (fractional coordinates):
Be1 0.000 0.000 0.500
Be2 0.500 0.000 0.000
Ru1 0.000 0.000 0.000
C1 0.000 0.500 0.000
Ti1 0.500 0.500 0.500

* calculated formation energy: 0.696 eV/atom
* crystal system: tetragonal


Entry 11:
In2Pd2Br: relaxed, GGA-PBE.

a = 4.108 Å, b = 4.108 Å, c = 7.353 Å
α = 73.78°, β = 73.78°, γ = 90.00°
Atoms (fractional coordinates):
Pd1 0.750 0.250 0.500
Pd2 0.250 0.750 0.500
Br1 0.000 0.000 0.000
In1 0.612 0.612 0.776
In2 0.388 0.388 0.224

* E above lowest polymorph: 64 meV/atom
* crystal system: tetragonal


Entry 12:
Al3FeS: relaxed, GGA-PBE.

a = 4.592 Å, b = 4.592 Å, c = 4.592 Å
α = 90.00°, β = 90.00°, γ = 90.00°
Site moments in Bohr magnetons follow the coordinates.
Atoms (fractional coordinates):
Al1 0.500 0.000 0.000  0.03
Al2 0.000 0.000 0.500  -0.02
Al3 0.000 0.500 0.000  0.02
Fe1 0.500 0.500 0.500  -2.98
S1 0.000 0.000 0.000  0.06

* E above lowest polymorph: 433 meV/atom
* crystal system: cubic


Entry 13:
AgSbHI2: relaxed, GGA-PBE.

a = 5.687 Å, b = 5.687 Å, c = 3.902 Å
α = 90.00°, β = 90.00°, γ = 90.00°
Atoms (fractional coordinates):
Sb1 0.000 0.000 0.500
Ag1 0.500 0.500 0.500
I1 0.500 0.000 0.000
I2 0.000 0.500 0.000
H1 0.000 0.000 0.000

* E above lowest polymorph: 0 meV/atom
* crystal system: tetragonal


Entry 14:
ReTcPb: relaxed, GGA-PBE.

a = 4.391 Å, b = 4.391 Å, c = 4.391 Å
α = 60.00°, β = 60.00°, γ = 60.00°
Atoms (fractional coordinates):
Pb1 0.000 0.000 0.000
Tc1 0.750 0.750 0.750
Re1 0.500 0.500 0.500

* calculated formation energy: 0.784 eV/atom
* E above lowest polymorph: 272 meV/atom
* crystal system: cubic


Entry 15:
Sr3Cl: relaxed, GGA-PBE.

a = 6.556 Å, b = 6.556 Å, c = 6.556 Å
α = 60.00°, β = 60.00°, γ = 60.00°
Atoms (fractional coordinates):
Sr1 0.750 0.750 0.750
Sr2 0.500 0.500 0.500
Sr3 0.250 0.250 0.250
Cl1 0.000 0.000 0.000

* E above lowest polymorph: 553 meV/atom
* crystal system: cubic


Entry 16:
CaGa3: relaxed, GGA-PBE.

a = 4.371 Å, b = 4.371 Å, c = 5.382 Å
α = 113.96°, β = 113.96°, γ = 90.00°
Atoms (fractional coordinates):
Ca1 0.000 0.000 0.000
Ga1 0.250 0.750 0.500
Ga2 0.750 0.250 0.500
Ga3 0.500 0.500 0.000

* calculated formation energy: -0.260 eV/atom
* crystal system: tetragonal


Entry 17:
CeUN2: relaxed, GGA-PBE.

a = 3.473 Å, b = 3.473 Å, c = 11.666 Å
α = 90.00°, β = 90.00°, γ = 120.00°
Site moments in Bohr magnetons follow the coordinates.
Atoms (fractional coordinates):
N1 0.667 0.333 0.610  -0.04
N2 0.333 0.667 0.390  -0.04
N3 0.667 0.333 0.890  -0.04
N4 0.333 0.667 0.110  -0.04
Ce1 0.667 0.333 0.250  0.15
Ce2 0.333 0.667 0.750  0.15
U1 0.000 0.000 0.000  1.04
U2 0.000 0.000 0.500  1.04

* crystal system: hexagonal


Entry 18:
ErTaP2: relaxed, GGA-PBE.

a = 3.647 Å, b = 3.647 Å, c = 6.814 Å
α = 74.48°, β = 74.48°, γ = 60.00°
Atoms (fractional coordinates):
P1 0.241 0.241 0.277
P2 0.091 0.091 0.727
Er1 0.672 0.672 0.985
Ta1 0.496 0.496 0.512

* calculated formation energy: -1.141 eV/atom
* E above lowest polymorph: 0 meV/atom
* crystal system: trigonal


Entry 19:
VGaCl4: relaxed, GGA-PBE.

a = 3.682 Å, b = 7.565 Å, c = 7.103 Å
α = 121.03°, β = 90.00°, γ = 104.09°
Site moments in Bohr magnetons follow the coordinates.
Atoms (fractional coordinates):
Cl1 0.395 0.789 0.019  -0.05
Cl2 0.110 0.219 0.390  -0.06
Cl3 0.890 0.781 0.610  -0.06
Cl4 0.605 0.211 0.981  -0.05
V1 0.000 0.000 0.000  2.05
Ga1 0.500 0.000 0.500  -0.07

* crystal system: monoclinic


Entry 20:
AgAsI3: relaxed, GGA-PBE.

a = 5.680 Å, b = 5.680 Å, c = 5.680 Å
α = 90.00°, β = 90.00°, γ = 90.00°
Site moments in Bohr magnetons follow the coordinates.
Atoms (fractional coordinates):
I1 0.000 0.000 0.500  -0.02
I2 0.000 0.500 0.000  -0.03
I3 0.500 0.000 0.000  -0.04
Ag1 0.000 0.000 0.000  -0.01
As1 0.500 0.500 0.500  0.91

* E above lowest polymorph: 678 meV/atom
* crystal system: cubic


Entry 21:
Ca2LaSiN: relaxed, GGA-PBE.

a = 4.806 Å, b = 4.806 Å, c = 5.014 Å
α = 90.00°, β = 90.00°, γ = 90.00°
Atoms (fractional coordinates):
N1 0.000 0.000 0.000
Ca1 0.500 0.000 0.000
Ca2 0.000 0.500 0.000
La1 0.000 0.000 0.500
Si1 0.500 0.500 0.500

* crystal system: tetragonal


Entry 22:
Mg3NbPt12: relaxed, GGA-PBE.

a = 3.972 Å, b = 3.972 Å, c = 15.867 Å
α = 90.00°, β = 90.00°, γ = 90.00°
Atoms (fractional coordinates):
Pt1 0.000 0.500 0.624
Pt2 0.000 0.500 0.876
Pt3 0.000 0.500 0.376
Pt4 0.500 0.000 0.876
Pt5 0.500 0.000 0.124
Pt6 0.500 0.000 0.624
Pt7 0.500 0.000 0.376
Pt8 0.500 0.500 0.250
Pt9 0.000 0.500 0.124
Pt10 0.500 0.500 0.000
Pt11 0.500 0.500 0.500
Pt12 0.500 0.500 0.750
Nb1 0.000 0.000 0.000
Mg1 0.000 0.000 0.500
Mg2 0.000 0.000 0.747
Mg3 0.000 0.000 0.253

* calculated formation energy: -0.645 eV/atom
* crystal system: tetragonal


Entry 23:
CdSe2N: relaxed, GGA-PBE.

a = 9.362 Å, b = 9.362 Å, c = 9.362 Å
α = 19.00°, β = 19.00°, γ = 19.00°
Atoms (fractional coordinates):
Se1 0.887 0.887 0.887
Se2 0.113 0.113 0.113
Cd1 0.000 0.000 0.000
N1 0.500 0.500 0.500

* E above lowest polymorph: 420 meV/atom
* crystal system: trigonal


Entry 24:
MnAgHgPt: relaxed, GGA-PBE.

a = 4.620 Å, b = 4.620 Å, c = 4.620 Å
α = 60.00°, β = 60.00°, γ = 60.00°
Site moments in Bohr magnetons follow the coordinates.
Atoms (fractional coordinates):
Mn1 0.500 0.500 0.500  3.99
Pt1 0.250 0.250 0.250  0.12
Ag1 0.750 0.750 0.750  0.03
Hg1 0.000 0.000 0.000  -0.02

* calculated formation energy: 0.031 eV/atom
* crystal system: cubic


Entry 25:
Mg3IrN: relaxed, GGA-PBE.

a = 4.849 Å, b = 4.849 Å, c = 4.849 Å
α = 90.00°, β = 90.00°, γ = 90.00°
Atoms (fractional coordinates):
Mg1 0.000 0.000 0.500
Mg2 0.500 0.000 0.000
Mg3 0.000 0.500 0.000
N1 0.500 0.500 0.500
Ir1 0.000 0.000 0.000

* E above lowest polymorph: 1378 meV/atom
* crystal system: cubic


Calculated values (eV/atom) of total DFT energy (no corrections) for the records, taken in order: -3.03; -7.08; -2.58; -5.65; -5.48; -7.18; -7.15; -6.82; -9.46; -6.07; -3.76; -4.05; -2.31; -8.06; -2.00; -3.03; -9.86; -7.95; -4.30; -1.89; -5.36; -6.10; -3.07; -4.56; -3.34.
Calculated values (g cm⁻³) of ρ for the records, taken in order: 9.57; 6.86; 4.16; 12.59; 6.92; 6.01; 5.69; 4.95; 11.21; 4.58; 7.61; 2.89; 6.38; 13.63; 2.49; 4.92; 11.07; 9.12; 2.68; 5.11; 3.75; 16.63; 6.21; 13.30; 4.07.